[1]
Computed, not measured: crystalline Rb2LiVCl6 at its relaxed geometry at the GGA-PBEsol level of DFT.

abc: 6.9327 6.9327 6.9327
angles: 60.00 60.00 60.00
Closest atoms and distances in Å follow each position.
Atoms (fractional coordinates):
V (0.0000, 0.0000, 0.0000)  6 Cl 2.36
Cl (0.2409, 0.7591, 0.7591)  1 V 2.36, 1 Li 2.54
Rb (0.7500, 0.7500, 0.7500)  12 Cl 3.47
Cl (0.2409, 0.7591, 0.2409)  1 V 2.36, 1 Li 2.54
Cl (0.7591, 0.2409, 0.2409)  1 V 2.36, 1 Li 2.54
Rb (0.2500, 0.2500, 0.2500)  12 Cl 3.47
Cl (0.7591, 0.2409, 0.7591)  1 V 2.36, 1 Li 2.54
Li (0.5000, 0.5000, 0.5000)  6 Cl 2.54
Cl (0.2409, 0.2409, 0.7591)  1 V 2.36, 1 Li 2.54
Cl (0.7591, 0.7591, 0.2409)  1 V 2.36, 1 Li 2.54

Values from the calculation:
The value obtained for the spin magnetization is 2.00 μB/cell. The calculation puts the calculated density at 3.112 Mg/m³. For the uncorrected formation energy, the calculation gives -1.66 eV per atom.

***

[2]
Computed, not measured: crystalline La2AlReOs at its relaxed geometry at the GGA-PBEsol level of DFT.

abc: 4.6534 5.5206 5.5206
angles: 90.00 90.00 90.00
Closest atoms and distances in Å follow each position.
Atoms (fractional coordinates):
Al (0.5000, 0.5000, 0.5000)  8 La 3.61, 4 Re 3.90
Re (0.5000, 0.0000, 0.0000)  2 Os 2.33
Os (0.0000, 0.0000, 0.0000)  2 Re 2.33
La (0.0000, 0.0000, 0.5000)  2 Os 2.76
La (0.0000, 0.5000, 0.0000)  2 Os 2.76

Values from the calculation:
The value obtained for the spin magnetization is 0.04 μB/cell. The calculation puts the energy at -7.41 eV/atom. The calculation puts the calculated density at 7.976 Mg/m³.

***

[3]
Computed, not measured: crystalline Y2RhAu at its relaxed geometry at the GGA-PBEsol level of DFT.

abc: 3.9282 3.9282 5.8684
angles: 90.00 90.00 90.00
Closest atoms and distances in Å follow each position.
Atoms (fractional coordinates):
Rh (0.5000, 0.5000, 0.8327)  6 Y 2.81-3.05
Au (0.0000, 0.0000, 0.4368)  6 Y 2.83-3.04
Y (0.5000, 0.5000, 0.3122)  2 Rh 2.81-3.05, 4 Au 2.87
Y (0.0000, 0.0000, 0.9183)  4 Rh 2.82, 2 Au 2.83-3.04

Values from the calculation:
The value obtained for the spin magnetization is 0.00 μB/cell. The calculation puts the energy at -7.03 eV/atom. The calculation puts the calculated density at 8.760 Mg/m³.

***

[4]
Computed, not measured: crystalline Mg2B2As at its relaxed geometry at the GGA-PBEsol level of DFT.

abc: 2.6877 7.2399 7.2399
angles: 90.00 90.00 90.00
Closest atoms and distances in Å follow each position.
Atoms (fractional coordinates):
Mg (0.0000, 0.3655, 0.8655)  6 B 2.42-2.59, 2 Mg 2.69
B (0.5000, 0.8306, 0.3306)  6 Mg 2.42-2.59, 2 B 2.69
Mg (0.0000, 0.8655, 0.6345)  6 B 2.42-2.59, 2 Mg 2.69
B (0.5000, 0.1694, 0.6694)  6 Mg 2.42-2.59, 2 B 2.69
Mg (0.0000, 0.6345, 0.1345)  6 B 2.42-2.59, 2 Mg 2.69
B (0.5000, 0.6694, 0.8306)  6 Mg 2.42-2.59, 2 B 2.69
Mg (0.0000, 0.1345, 0.3655)  6 B 2.42-2.59, 2 Mg 2.69
As (0.0000, 0.0000, 0.0000)  2 As 2.69, 4 Mg 2.82, 8 B 3.01
B (0.5000, 0.3306, 0.1694)  6 Mg 2.42-2.59, 2 B 2.69
As (0.0000, 0.5000, 0.5000)  2 As 2.69, 4 Mg 2.82, 8 B 3.01

Values from the calculation:
The value obtained for the spin magnetization is 0.00 μB/cell. The calculation puts the energy at -3.59 eV/atom. The calculation puts the calculated density at 3.422 Mg/m³.

***

[5]
Computed, not measured: crystalline Sr2IrSe at its relaxed geometry at the GGA-PBEsol level of DFT.

abc: 4.2734 4.2734 6.1944
angles: 110.18 110.18 90.00
Closest atoms and distances in Å follow each position.
Atoms (fractional coordinates):
Ir (0.5000, 0.5000, 0.0000)  4 Sr 3.02
Se (0.2500, 0.7500, 0.5000)  4 Sr 3.02
Sr (0.7500, 0.2500, 0.5000)  4 Se 3.02
Sr (0.0000, 0.0000, 0.0000)  4 Ir 3.02

Values from the calculation:
The value obtained for the spin magnetization is 0.55 μB/cell. The calculation puts the calculated density at 7.507 Mg/m³. For the uncorrected formation energy, the calculation gives -0.38 eV per atom.

***

[6]
Computed, not measured: crystalline Ag4Se3 at its relaxed geometry at the GGA-PBEsol level of DFT.

abc: 3.6400 3.6400 11.4194
angles: 99.17 99.17 90.00
Closest atoms and distances in Å follow each position.
Atoms (fractional coordinates):
Ag (0.1908, 0.1908, 0.3816)  4 Se 2.60
Se (0.0000, 0.0000, 0.0000)  8 Ag 2.90
Se (0.3254, 0.3254, 0.6508)  5 Ag 2.56-2.60
Se (0.6746, 0.6746, 0.3492)  5 Ag 2.56-2.60
Ag (0.4403, 0.4403, 0.8807)  1 Se 2.56, 1 Ag 2.65
Ag (0.8092, 0.8092, 0.6184)  4 Se 2.60
Ag (0.5597, 0.5597, 0.1193)  1 Se 2.56, 1 Ag 2.65

Values from the calculation:
The value obtained for the spin magnetization is 0.00 μB/cell. The calculation puts the calculated density at 7.529 Mg/m³. For the uncorrected formation energy, the calculation gives 0.05 eV per atom.

***

[7]
Computed, not measured: crystalline KSb2Ru at its relaxed geometry at the GGA-PBEsol level of DFT.

abc: 4.8864 4.8864 4.8864
angles: 60.00 60.00 60.00
Closest atoms and distances in Å follow each position.
Atoms (fractional coordinates):
K (0.5000, 0.5000, 0.5000)  8 Sb 2.99
Sb (0.7500, 0.7500, 0.7500)  4 Ru 2.99, 4 K 2.99
Sb (0.2500, 0.2500, 0.2500)  4 K 2.99, 4 Ru 2.99
Ru (0.0000, 0.0000, 0.0000)  8 Sb 2.99

Values from the calculation:
The value obtained for the spin magnetization is 0.00 μB/cell. The calculation puts the calculated density at 7.723 Mg/m³. For the uncorrected formation energy, the calculation gives 0.28 eV per atom.

***

[8]
Computed, not measured: crystalline YCd2Se at its relaxed geometry at the GGA-PBEsol level of DFT.

abc: 3.7604 5.2290 5.5545
angles: 110.70 90.00 111.07
Closest atoms and distances in Å follow each position.
Atoms (fractional coordinates):
Se (0.4996, 0.9992, 0.6247)  3 Y 2.79-2.81, 2 Cd 2.92
Cd (0.7697, 0.5395, 0.1958)  3 Cd 2.83-2.99
Y (0.2183, 0.4365, 0.6445)  3 Se 2.79-2.81
Cd (0.0124, 0.0248, 0.0349)  3 Cd 2.83-2.99, 2 Se 2.92

Values from the calculation:
The value obtained for the spin magnetization is 0.00 μB/cell. The calculation puts the calculated density at 6.914 Mg/m³. For the uncorrected formation energy, the calculation gives -0.64 eV per atom.

***

[9]
Computed, not measured: crystalline Zr5Au at its relaxed geometry at the GGA-PBEsol level of DFT.

abc: 3.1720 3.1720 12.6413
angles: 90.00 90.00 90.00
Closest atoms and distances in Å follow each position.
Atoms (fractional coordinates):
Zr (0.5000, 0.5000, 0.8256)  12 Zr 3.14-3.17
Au (0.5000, 0.5000, 0.5000)  8 Zr 2.95, 4 Au 3.17
Zr (0.0000, 0.0000, 0.6518)  4 Au 2.95, 8 Zr 3.14-3.17
Zr (0.5000, 0.5000, 0.1744)  12 Zr 3.14-3.17
Zr (0.0000, 0.0000, 0.3482)  4 Au 2.95, 8 Zr 3.14-3.17
Zr (0.0000, 0.0000, 0.0000)  12 Zr 3.15-3.17

Values from the calculation:
The value obtained for the spin magnetization is 0.00 μB/cell. The calculation puts the energy at -8.43 eV/atom. The calculation puts the calculated density at 8.526 Mg/m³.

***

[10]
Computed, not measured: crystalline Li2TlSb at its relaxed geometry at the GGA-PBEsol level of DFT.

abc: 3.3432 3.3432 9.6876
angles: 80.06 80.06 60.00
Closest atoms and distances in Å follow each position.
Atoms (fractional coordinates):
Li (0.7521, 0.7521, 0.7437)  3 Sb 2.88, 3 Li 3.13
Sb (0.4938, 0.4938, 0.5186)  3 Li 2.88
Tl (0.2553, 0.2553, 0.2341)  3 Li 2.92
Li (0.9988, 0.9988, 0.0036)  3 Tl 2.92, 3 Li 3.13

Values from the calculation:
The value obtained for the spin magnetization is 0.00 μB/cell. The calculation puts the calculated density at 6.144 Mg/m³. For the uncorrected formation energy, the calculation gives -0.10 eV per atom.

***

[11]
Computed, not measured: crystalline CsLaO2 at its relaxed geometry at the GGA-PBEsol level of DFT.

abc: 6.5331 6.6458 6.5326
angles: 60.56 90.00 119.44
Closest atoms and distances in Å follow each position.
Atoms (fractional coordinates):
O (0.3750, 0.2500, 0.0316)  2 La 2.27
O (0.7183, 0.7500, 0.3750)  2 La 2.27
O (0.8750, 0.2500, 0.7184)  2 La 2.27
La (0.7500, 0.5000, 0.7500)  4 O 2.27
Cs (0.2500, 0.5000, 0.2500)  4 O 3.02
O (0.0316, 0.7500, 0.8750)  2 La 2.27
Cs (0.5000, 0.0000, 0.5000)  4 O 3.02
La (0.0000, 0.0000, 0.0000)  4 O 2.27

Values from the calculation:
The value obtained for the spin magnetization is 0.00 μB/cell. The calculation puts the calculated density at 4.948 Mg/m³. For the uncorrected formation energy, the calculation gives -2.51 eV per atom.

***

[12]
Computed, not measured: crystalline Ru3Au at its relaxed geometry at the GGA-PBEsol level of DFT.

abc: 3.8325 3.8325 3.8325
angles: 90.00 90.00 90.00
Closest atoms and distances in Å follow each position.
Atoms (fractional coordinates):
Au (0.0000, 0.0000, 0.0000)  12 Ru 2.71
Ru (0.5000, 0.5000, 0.0000)  8 Ru 2.71, 4 Au 2.71
Ru (0.0000, 0.5000, 0.5000)  8 Ru 2.71, 4 Au 2.71
Ru (0.5000, 0.0000, 0.5000)  8 Ru 2.71, 4 Au 2.71

Values from the calculation:
The value obtained for the spin magnetization is 0.00 μB/cell. The calculation puts the energy at -8.19 eV/atom. The calculation puts the calculated density at 14.755 Mg/m³.

***

[13]
Computed, not measured: crystalline AlFeRuPb2 at its relaxed geometry at the GGA-PBEsol level of DFT.

abc: 4.2858 5.1275 5.1275
angles: 90.00 90.00 90.00
Closest atoms and distances in Å follow each position.
Atoms (fractional coordinates):
Pb (0.0000, 0.0000, 0.5000)  2 Al 2.56
Fe (0.5000, 0.0000, 0.0000)  2 Al 2.14
Pb (0.0000, 0.5000, 0.0000)  2 Al 2.56
Ru (0.5000, 0.5000, 0.5000)  8 Pb 3.34, 4 Fe 3.63
Al (0.0000, 0.0000, 0.0000)  2 Fe 2.14

Values from the calculation:
The value obtained for the spin magnetization is 3.78 μB/cell. The calculation puts the energy at -4.74 eV/atom. The calculation puts the calculated density at 8.817 Mg/m³.

***

[14]
Computed, not measured: crystalline ScZn at its relaxed geometry at the GGA-PBEsol level of DFT.

abc: 3.0509 3.0509 7.8562
angles: 90.00 90.00 90.00
Closest atoms and distances in Å follow each position.
Atoms (fractional coordinates):
Sc (0.0000, 0.5000, 0.8433)  4 Zn 2.90, 4 Sc 3.05
Zn (0.5000, 0.0000, 0.5962)  4 Zn 2.63, 4 Sc 2.90
Sc (0.5000, 0.0000, 0.1567)  4 Zn 2.90, 4 Sc 3.05
Zn (0.0000, 0.5000, 0.4038)  4 Zn 2.63, 4 Sc 2.90

Values from the calculation:
The value obtained for the spin magnetization is 0.00 μB/cell. The calculation puts the energy at -4.29 eV/atom. The calculation puts the calculated density at 5.013 Mg/m³.

***

[15]
Computed, not measured: crystalline TaFeTe2 at its relaxed geometry at the GGA-PBEsol level of DFT.

abc: 3.4372 3.4372 7.2496
angles: 90.00 90.00 90.00
Closest atoms and distances in Å follow each position.
Atoms (fractional coordinates):
Te (0.0000, 0.0000, 0.9127)  1 Fe 2.72, 4 Ta 2.84
Fe (0.0000, 0.0000, 0.5371)  5 Te 2.72-2.82, 4 Ta 2.73
Ta (0.5000, 0.5000, 0.7097)  5 Te 2.68-2.84, 4 Fe 2.73
Te (0.5000, 0.5000, 0.3405)  1 Ta 2.68, 4 Fe 2.82

Values from the calculation:
The value obtained for the spin magnetization is 1.64 μB/cell. The calculation puts the calculated density at 9.538 Mg/m³. For the uncorrected formation energy, the calculation gives 0.03 eV per atom.

***

[16]
Computed, not measured: crystalline FeCuSi2 at its relaxed geometry at the GGA-PBEsol level of DFT.

abc: 3.4486 3.4486 4.4758
angles: 112.66 112.66 90.00
Closest atoms and distances in Å follow each position.
Atoms (fractional coordinates):
Fe (0.7500, 0.2500, 0.5000)  8 Si 2.44-2.55, 4 Cu 2.55
Si (0.2500, 0.7500, 0.5000)  4 Fe 2.44, 4 Cu 2.55, 4 Si 2.55
Cu (0.5000, 0.5000, 0.0000)  8 Si 2.44-2.55, 4 Fe 2.55
Si (0.0000, 0.0000, 0.0000)  4 Cu 2.44, 4 Si 2.55, 4 Fe 2.55

Values from the calculation:
The value obtained for the spin magnetization is 0.00 μB/cell. The calculation puts the calculated density at 6.531 Mg/m³. For the uncorrected formation energy, the calculation gives -0.16 eV per atom.

***

[17]
Computed, not measured: crystalline AlSbTe2 at its relaxed geometry at the GGA-PBEsol level of DFT.

abc: 4.0552 4.0552 7.8898
angles: 75.11 75.11 60.00
Closest atoms and distances in Å follow each position.
Atoms (fractional coordinates):
Al (0.5000, 0.5000, 0.5000)  6 Te 2.86
Te (0.7603, 0.7603, 0.7191)  3 Al 2.86, 3 Sb 3.16
Sb (0.0000, 0.0000, 0.0000)  6 Te 3.16
Te (0.2397, 0.2397, 0.2809)  3 Al 2.86, 3 Sb 3.16

Values from the calculation:
The value obtained for the spin magnetization is 0.00 μB/cell. The calculation puts the calculated density at 6.251 Mg/m³. For the uncorrected formation energy, the calculation gives -0.09 eV per atom.

***

[18]
Computed, not measured: crystalline LiO2F2 at its relaxed geometry at the GGA-PBEsol level of DFT.

abc: 3.6764 3.6764 3.8637
angles: 90.00 90.00 90.00
Closest atoms and distances in Å follow each position.
Atoms (fractional coordinates):
F (0.0000, 0.5000, 0.0000)  2 Li 1.84
O (0.0000, 0.0000, 0.5000)  2 Li 1.93
Li (0.0000, 0.0000, 0.0000)  4 F 1.84, 2 O 1.93
F (0.5000, 0.0000, 0.0000)  2 Li 1.84
O (0.5000, 0.5000, 0.5000)  4 O 2.60, 8 F 2.67

Values from the calculation:
The value obtained for the spin magnetization is 5.00 μB/cell. The calculation puts the calculated density at 2.446 Mg/m³. For the uncorrected formation energy, the calculation gives 0.05 eV per atom.

***

[19]
Computed, not measured: crystalline Tm2MgTl at its relaxed geometry at the GGA-PBEsol level of DFT.

abc: 5.1986 5.1986 5.1986
angles: 60.00 60.00 60.00
Closest atoms and distances in Å follow each position.
Atoms (fractional coordinates):
Tl (0.0000, 0.0000, 0.0000)  8 Tm 3.18
Tm (0.2500, 0.2500, 0.2500)  4 Tl 3.18, 4 Mg 3.18
Tm (0.7500, 0.7500, 0.7500)  4 Tl 3.18, 4 Mg 3.18
Mg (0.5000, 0.5000, 0.5000)  8 Tm 3.18

Values from the calculation:
The value obtained for the spin magnetization is 0.00 μB/cell. The calculation puts the energy at -3.78 eV/atom. The calculation puts the calculated density at 9.470 Mg/m³.

***

[20]
Computed, not measured: crystalline ScTlW at its relaxed geometry at the GGA-PBEsol level of DFT.

abc: 2.9234 2.9234 7.0955
angles: 101.89 101.89 90.00
Closest atoms and distances in Å follow each position.
Atoms (fractional coordinates):
W (0.3370, 0.3370, 0.6739)  4 W 2.92, 4 Sc 2.95, 4 Tl 3.06
Sc (0.9919, 0.9919, 0.9837)  4 Sc 2.92, 4 W 2.95, 4 Tl 3.19
Tl (0.6712, 0.6712, 0.3424)  4 Tl 2.92, 4 W 3.06, 4 Sc 3.19

Values from the calculation:
The value obtained for the spin magnetization is 0.00 μB/cell. The calculation puts the energy at -7.32 eV/atom. The calculation puts the calculated density at 12.400 Mg/m³.